## Tl4AgSb2 (PBE)

Data for crystalline Tl4AgSb2 at its relaxed geometry.

Structure (POSCAR):
```
Tl4AgSb2
1.0
4.898 -4.903 0.000
4.898 4.903 0.000
0.000 0.000 4.576
Tl Ag Sb
4 1 2
Direct
0.000 0.500 0.500
0.182 0.818 0.000
0.500 0.000 0.500
0.818 0.182 0.000
0.500 0.500 0.500
0.333 0.333 0.000
0.667 0.667 0.000
```

Computed properties:
* energy relative to the elements, uncorrected: 0.05 eV per atom
* spin magnetization: 0.00 Bohr magnetons per cell
* electronic total energy: -20.2 eV per formula unit